# 1
## NdScZnRu (PBE)

Data for a relaxed NdScZnRu crystal.

abc: 4.8718 4.8718 4.8718
angles: 60.00 60.00 60.00
Fractional positions:
Nd: 0.0000 0.0000 0.0000
Sc: 0.5000 0.5000 0.5000
Zn: 0.7500 0.7500 0.7500
Ru: 0.2500 0.2500 0.2500

Calculated values
E in eV/atom: -5.688
Formation enthalpy at 0 K in eV per atom: -0.28

---

# 2
## Nd5RuSe4 (PBE)

Data for a relaxed Nd5RuSe4 crystal.

abc: 7.3523 7.3523 7.3523
angles: 99.73 99.73 131.46
Fractional positions:
Nd: 0.0000 0.0000 0.0000
Nd: 0.2211 0.4058 0.6269
Nd: 0.4058 0.7789 0.1847
Nd: 0.5942 0.2211 0.8153
Nd: 0.7789 0.5942 0.3731
Ru: 0.5000 0.5000 0.0000
Se: 0.0937 0.6950 0.7887
Se: 0.3050 0.0937 0.3987
Se: 0.6950 0.9063 0.6013
Se: 0.9063 0.3050 0.2113

Calculated values
E in eV/atom: -6.180
Formation energy without anion corrections in eV/atom: -1.474

---

| no. | magnetization (μB/f.u.) |
| --- | --- |
| 1 | 0.0 |
| 2 | 0.0 |